Compound: KVAs3
Source: Alexandria
Functional: PBE
Structure: relaxed

Results
E_form = 1.8042 eV/atom
mass density = 3.57 Mg/m³
energy relative to the lowest polymorph listed for this composition = 1919 meV/atom

```
data_KVAs3
_cell_length_a 5.2698
_cell_length_b 5.2698
_cell_length_c 5.2698
_cell_angle_alpha 90.00
_cell_angle_beta 90.00
_cell_angle_gamma 90.00
_space_group_name_H-M_alt 'P m -3 m'
_space_group_IT_number 221
_space_group_name_Hall '-P 4 2 3'
loop_
_atom_site_label
_atom_site_fract_x
_atom_site_fract_y
_atom_site_fract_z
K1 0.0000 0.0000 0.0000
V1 0.5000 0.5000 0.5000
As1 0.0000 0.0000 0.5000
```

---

Compound: TaMnP2
Source: Alexandria
Functional: PBE
Structure: relaxed

Results
E_form = -0.4878 eV/atom
mass density = 8.94 Mg/m³
energy relative to the lowest polymorph listed for this composition = 128 meV/atom

```
data_TaMnP2
_cell_length_a 3.2191
_cell_length_b 3.2191
_cell_length_c 5.3376
_cell_angle_alpha 90.00
_cell_angle_beta 90.00
_cell_angle_gamma 90.00
_space_group_name_H-M_alt 'P 4 m m'
_space_group_IT_number 99
loop_
_space_group_symop_operation_xyz
'x,y,z'
'-y,x,z'
'-x,-y,z'
'y,-x,z'
'-x,y,z'
'y,x,z'
'x,-y,z'
'-y,-x,z'
loop_
_atom_site_label
_atom_site_fract_x
_atom_site_fract_y
_atom_site_fract_z
Ta1 0.0000 0.0000 0.0000
Mn1 0.5000 0.5000 0.3417
P1 0.0000 0.0000 0.4922
P2 0.5000 0.5000 0.8028
```

---

Compound: Na2ErZrSe4
Source: Alexandria
Functional: PBE
Structure: relaxed

Results
mass density = 5.30 Mg/m³
formation energy from raw total energies = -11.8 eV/f.u.

```
data_Na2ErZrSe4
_cell_length_a 6.9214
_cell_length_b 3.9608
_cell_length_c 7.4427
_cell_angle_alpha 90.00
_cell_angle_beta 107.84
_cell_angle_gamma 90.00
_space_group_name_H-M_alt 'P 1 2/m 1'
_space_group_IT_number 10
loop_
_space_group_symop_operation_xyz
'x,y,z'
'-x,-y,-z'
'-x,y,-z'
'x,-y,z'
loop_
_atom_site_label
_atom_site_fract_x
_atom_site_fract_y
_atom_site_fract_z
Na1 0.0000 0.0000 0.0000
Na2 0.5000 0.5000 0.0000
Er1 0.0000 0.5000 0.5000
Zr1 0.5000 0.0000 0.5000
Se1 0.2512 0.0000 0.7290
Se2 0.2651 0.5000 0.2739
```

---

Compound: AcCeDyY
Source: Alexandria
Functional: PBE
Structure: relaxed

Results
E_form = 0.1830 eV/atom
mass density = 7.29 Mg/m³

```
data_AcCeDyY
_cell_length_a 8.2616
_cell_length_b 8.2616
_cell_length_c 8.2616
_cell_angle_alpha 90.00
_cell_angle_beta 90.00
_cell_angle_gamma 90.00
_space_group_name_H-M_alt 'F -4 3 m'
_space_group_IT_number 216
_space_group_name_Hall 'F -4 2 3'
loop_
_atom_site_label
_atom_site_fract_x
_atom_site_fract_y
_atom_site_fract_z
Ac1 0.0000 0.0000 0.0000
Ce1 0.0000 0.0000 0.5000
Dy1 0.2500 0.2500 0.2500
Y1 0.2500 0.2500 0.7500
```